This record from Alexandria describes Sm2YTm4Sc after structural relaxation. The functional is PBE.

Cell: 4.9707 4.9745 11.0402 Å, 63.24 90.00 90.00°
Closest atoms and distances in Å follow each position.
Positions (direct):
Tm: 0.5000 0.7444 0.2555  2 Sc 3.46, 4 Sm 3.46-3.54, 4 Tm 3.52, 2 Y 3.54
Tm: 0.0000 0.2444 0.2555  4 Sm 3.46-3.54, 2 Sc 3.46, 4 Tm 3.52, 2 Y 3.54
Sc: 0.0000 0.5000 0.5000  8 Tm 3.46, 4 Sm 3.52
Sm: 0.5000 0.0000 0.5000  8 Tm 3.46, 4 Sc 3.52
Y: 0.5000 0.5000 0.0000  4 Sm 3.52, 8 Tm 3.54
Sm: 0.0000 0.0000 0.0000  4 Y 3.52, 8 Tm 3.54
Tm: 0.0000 0.7556 0.7445  4 Sm 3.46-3.54, 2 Sc 3.46, 4 Tm 3.52, 2 Y 3.54
Tm: 0.5000 0.2556 0.7445  2 Sc 3.46, 4 Sm 3.46-3.54, 4 Tm 3.52, 2 Y 3.54

- E_form (meV per atom) = 37
- symmetry = P4/mmm
- density (kg/m3) = 7564

This record from Alexandria describes Sm6YTmSc2 after structural relaxation. The functional is PBE.

Cell: 9.4483 8.7526 8.7526 Å, 118.00 93.80 93.80°
Closest atoms and distances in Å follow each position.
Positions (direct):
Sm: 0.3161 0.9875 0.4404  4 Sm 3.25-3.61, 2 Sc 3.40-3.56, 1 Tm 3.41, 1 Y 3.58
Sm: 0.1839 0.5596 0.0125  4 Sm 3.25-3.61, 2 Sc 3.40-3.56, 1 Tm 3.41, 1 Y 3.58
Tm: 0.7500 0.5904 0.4096  6 Sm 3.34-3.48, 2 Sc 3.49
Sc: 0.0470 0.3032 0.1990  6 Sm 3.20-3.56, 2 Y 3.36-3.39, 1 Tm 3.49
Sm: 0.1177 0.7038 0.4962  3 Sc 3.20-3.37, 3 Sm 3.25-3.38, 2 Tm 3.34-3.48
Sm: 0.5519 0.7613 0.1167  7 Sm 3.38-3.76, 1 Sc 3.39, 2 Y 3.60-3.74
Y: 0.2500 0.9733 0.0267  4 Sc 3.36-3.39, 6 Sm 3.58-3.74
Sm: 0.3823 0.5038 0.2962  3 Sc 3.20-3.37, 3 Sm 3.25-3.38, 2 Tm 3.34-3.48
Sm: 0.6839 0.0125 0.5596  4 Sm 3.25-3.61, 2 Sc 3.40-3.56, 1 Tm 3.41, 1 Y 3.58
Sc: 0.9530 0.6968 0.8010  6 Sm 3.20-3.56, 2 Y 3.36-3.39, 1 Tm 3.49
Sm: 0.9481 0.8833 0.2387  7 Sm 3.38-3.76, 1 Sc 3.39, 2 Y 3.60-3.74
Sm: 0.8823 0.2962 0.5038  3 Sc 3.20-3.37, 3 Sm 3.25-3.38, 2 Tm 3.34-3.48
Sm: 0.0519 0.1167 0.7613  7 Sm 3.38-3.76, 1 Sc 3.39, 2 Y 3.60-3.74
Sm: 0.8161 0.4404 0.9875  4 Sm 3.25-3.61, 2 Sc 3.40-3.56, 1 Tm 3.41, 1 Y 3.58
Sc: 0.4530 0.8010 0.6968  6 Sm 3.20-3.56, 2 Y 3.36-3.39, 1 Tm 3.49
Sm: 0.6177 0.4962 0.7038  3 Sc 3.20-3.37, 3 Sm 3.25-3.38, 2 Tm 3.34-3.48
Sc: 0.5470 0.1990 0.3032  6 Sm 3.20-3.56, 2 Y 3.36-3.39, 1 Tm 3.49
Sm: 0.4481 0.2387 0.8833  7 Sm 3.38-3.76, 1 Sc 3.39, 2 Y 3.60-3.74
Tm: 0.2500 0.4096 0.5904  6 Sm 3.34-3.48, 2 Sc 3.49
Y: 0.7500 0.0267 0.9733  4 Sc 3.36-3.39, 6 Sm 3.58-3.74

- E_form (meV per atom) = 124
- symmetry = C2/c
- density (kg/m3) = 6550

This record from Alexandria describes SmYTm3Sc after structural relaxation. The functional is PBE.

Cell: 4.9380 7.7936 9.8643 Å, 90.00 90.00 108.47°
Closest atoms and distances in Å follow each position.
Positions (direct):
Sm: 0.4988 0.9977 0.2500  6 Tm 3.45-3.48, 4 Sc 3.49, 2 Y 3.49
Tm: 0.3353 0.6705 0.4997  2 Sm 3.45-3.48, 2 Sc 3.47, 5 Tm 3.49-3.53, 3 Y 3.49-3.51
Sc: 0.0000 0.0000 0.0000  6 Tm 3.47-3.48, 2 Y 3.48, 4 Sm 3.49
Tm: 0.8344 0.6687 0.2500  2 Sm 3.47, 2 Sc 3.48, 6 Tm 3.49-3.52, 2 Y 3.51
Sm: 0.5012 0.0023 0.7500  6 Tm 3.45-3.48, 4 Sc 3.49, 2 Y 3.49
Y: 0.1661 0.3322 0.2500  2 Sc 3.48, 8 Tm 3.49-3.51, 2 Sm 3.49
Tm: 0.6647 0.3295 0.5003  2 Sm 3.45-3.48, 2 Sc 3.47, 5 Tm 3.49-3.53, 3 Y 3.49-3.51
Tm: 0.3353 0.6705 0.0003  2 Sm 3.45-3.48, 2 Sc 3.47, 5 Tm 3.49-3.53, 3 Y 3.49-3.51
Tm: 0.1656 0.3313 0.7500  2 Sm 3.47, 2 Sc 3.48, 6 Tm 3.49-3.52, 2 Y 3.51
Sc: 0.0000 0.0000 0.5000  6 Tm 3.47-3.48, 2 Y 3.48, 4 Sm 3.49
Y: 0.8339 0.6678 0.7500  2 Sc 3.48, 8 Tm 3.49-3.51, 2 Sm 3.49
Tm: 0.6647 0.3295 0.9997  2 Sm 3.45-3.48, 2 Sc 3.47, 5 Tm 3.49-3.53, 3 Y 3.49-3.51

- E_form (meV per atom) = 40
- symmetry = Cmcm
- density (kg/m3) = 7296